[1]
ScHg2O after structural relaxation, computed with PBE.

Results
**Total magnetic moment**: 0.000 μB per formula unit
**V**: 103.5 Å³/f.u.
**Final energy**: -62.305 eV/cell

a = 10.3432 Å, b = 10.3432 Å, c = 3.8688 Å
α = 90.00°, β = 90.00°, γ = 90.00°
Closest atoms and distances in Å follow each position.
Space group I-42d (No. 122)
Symmetry-distinct sites (fractional):
Sc (0.0000, 0.0000, 0.0000) [4 per cell]  2 O 1.93
Hg (0.1315, 0.2500, 0.6250) [8 per cell]  2 O 2.96, 2 Hg 3.12, 2 Sc 3.26
O (0.0000, 0.0000, 0.5000) [4 per cell]  2 Sc 1.93

[2]
Ho2ScPdO6 after structural relaxation, computed with PBE.

Results
**Total magnetic moment**: 1.005 μB per formula unit
**V**: 131.4 Å³/f.u.
**Final energy**: -77.271 eV/cell

a = 5.4788 Å, b = 5.6000 Å, c = 5.7657 Å
α = 61.95°, β = 89.89°, γ = 61.50°
Closest atoms and distances in Å follow each position.
Space group P1 (No. 1)
Symmetry-distinct sites (fractional):
Ho (0.0000, 0.0000, 0.0000) [1 per cell]  6 O 2.21-2.41
Ho (0.4999, 0.0053, 0.4897) [1 per cell]  5 O 2.19-2.37
Sc (0.2181, 0.5641, 0.6425) [1 per cell]  6 O 2.04-2.23
Pd (0.7088, 0.5796, 0.1210) [1 per cell]  4 O 2.08-2.10
O (0.1038, 0.0437, 0.3519) [1 per cell]  1 Sc 2.14, 2 Ho 2.19-2.26, 1 Pd 2.35
O (0.3176, 0.1053, 0.8158) [1 per cell]  1 Sc 2.04, 1 Ho 2.21
O (0.4265, 0.4885, 0.3361) [1 per cell]  1 Pd 2.08, 1 Sc 2.20, 1 Ho 2.23
O (0.5866, 0.4830, 0.8476) [1 per cell]  1 Sc 2.08, 1 Pd 2.09, 1 Ho 2.27
O (0.8330, 0.7352, 0.3368) [1 per cell]  1 Pd 2.09, 1 Sc 2.23, 2 Ho 2.24-2.32
O (0.9256, 0.7329, 0.8422) [1 per cell]  1 Sc 2.09, 1 Pd 2.10, 1 Ho 2.26

[3]
PdPb3Cl2F6 after structural relaxation, computed with PBE.

Results
**Total magnetic moment**: 1.972 μB per formula unit
**V**: 263.6 Å³/f.u.
**Final energy**: -102.046 eV/cell

a = 13.2659 Å, b = 7.2657 Å, c = 5.5235 Å
α = 90.00°, β = 97.98°, γ = 90.00°
Closest atoms and distances in Å follow each position.
Space group C2/m (No. 12)
Symmetry-distinct sites (fractional):
Pd (0.0000, 0.0000, 0.0000) [2 per cell]  6 F 2.16-2.33
Pb (0.0000, 0.5000, 0.5000) [2 per cell]  4 F 2.56, 2 Cl 2.85
Pb (0.2500, 0.2500, 0.0000) [4 per cell]  4 F 2.45-2.53
Cl (0.2000, 0.5000, 0.3689) [4 per cell]  3 Pb 2.85-2.88, 1 F 2.96
F (0.0661, 0.2461, 0.8008) [8 per cell]  1 Pd 2.33, 2 Pb 2.53-2.56
F (0.1567, 0.0000, 0.1693) [4 per cell]  1 Pd 2.16

Please write out number 2 again, unchanged.
Ho2ScPdO6 after structural relaxation, computed with PBE.

Results
**Total magnetic moment**: 1.005 μB per formula unit
**V**: 131.4 Å³/f.u.
**Final energy**: -77.271 eV/cell

a = 5.4788 Å, b = 5.6000 Å, c = 5.7657 Å
α = 61.95°, β = 89.89°, γ = 61.50°
Closest atoms and distances in Å follow each position.
Space group P1 (No. 1)
Symmetry-distinct sites (fractional):
Ho (0.0000, 0.0000, 0.0000) [1 per cell]  6 O 2.21-2.41
Ho (0.4999, 0.0053, 0.4897) [1 per cell]  5 O 2.19-2.37
Sc (0.2181, 0.5641, 0.6425) [1 per cell]  6 O 2.04-2.23
Pd (0.7088, 0.5796, 0.1210) [1 per cell]  4 O 2.08-2.10
O (0.1038, 0.0437, 0.3519) [1 per cell]  1 Sc 2.14, 2 Ho 2.19-2.26, 1 Pd 2.35
O (0.3176, 0.1053, 0.8158) [1 per cell]  1 Sc 2.04, 1 Ho 2.21
O (0.4265, 0.4885, 0.3361) [1 per cell]  1 Pd 2.08, 1 Sc 2.20, 1 Ho 2.23
O (0.5866, 0.4830, 0.8476) [1 per cell]  1 Sc 2.08, 1 Pd 2.09, 1 Ho 2.27
O (0.8330, 0.7352, 0.3368) [1 per cell]  1 Pd 2.09, 1 Sc 2.23, 2 Ho 2.24-2.32
O (0.9256, 0.7329, 0.8422) [1 per cell]  1 Sc 2.09, 1 Pd 2.10, 1 Ho 2.26

Question: The lowest V belongs to which entry?
Answer: ScHg2O

Question: What is the total magnetic moment in the third record?
Answer: 1.972 μB per formula unit